# 1
CeTcH6Pd | PBE | relaxed

Output
DOS(E_F) ... 5.92 states/eV/f.u.
Raw total energy ... -4.818 eV/atom
Size of the total moment ... 0.53 Bohr magnetons per cell

Cell: 4.6636 4.6636 4.4531 Å, 90.00 90.00 120.00°
Space group P-6m2 (No. 187)
One atom of each set of equivalent atoms:
Ce: 0.0000 0.0000 0.0000
Tc: 0.3333 0.6667 0.5000
H: 0.0264 0.5132 0.2184
Pd: 0.6667 0.3333 0.5000

# 2
CeZnH8Pd2 | PBE | relaxed

Output
DOS(E_F) ... 5.69 states/eV/f.u.
Raw total energy ... -3.742 eV/atom
Size of the total moment ... 2.68 Bohr magnetons per cell

Cell: 4.7388 4.7388 17.0695 Å, 90.00 90.00 120.00°
Space group R-3 (No. 148, hexagonal axes)
One atom of each set of equivalent atoms:
Ce: 0.0000 0.0000 0.0000
Zn: 0.0000 0.0000 0.5000
H: 0.0000 0.0000 0.3212
H: 0.0026 0.3683 0.2302
Pd: 0.0000 0.0000 0.2243

# 3
CePm3H8 | PBE | relaxed

Output
DOS(E_F) ... 8.89 states/eV/f.u.
Raw total energy ... -4.552 eV/atom
Size of the total moment ... 0.80 Bohr magnetons per cell

Cell: 5.429 5.429 5.429 Å, 90.00 90.00 90.00°
Space group Pm-3m (No. 221)
One atom of each set of equivalent atoms:
Ce: 0.000 0.000 0.000
Pm: 0.000 0.500 0.500
H: 0.251 0.251 0.251

# 4
CePm4H10 | PBE | relaxed

Output
DOS(E_F) ... 9.76 states/eV/f.u.
Raw total energy ... -4.537 eV/atom
Size of the total moment ... 2.18 Bohr magnetons per cell

Cell: 3.8326 3.8326 47.0786 Å, 90.00 90.00 120.00°
Space group R-3m (No. 166, hexagonal axes)
One atom of each set of equivalent atoms:
Ce: 0.0000 0.0000 0.0000
Pm: 0.0000 0.0000 0.1998
Pm: 0.0000 0.0000 0.4001
H: 0.0000 0.0000 0.0503
H: 0.0000 0.0000 0.1499
H: 0.0000 0.0000 0.2496
H: 0.0000 0.0000 0.3503
H: 0.0000 0.0000 0.4500

# 5
CePmH4 | PBE | relaxed

Output
DOS(E_F) ... 7.44 states/eV/f.u.
Raw total energy ... -4.612 eV/atom
Size of the total moment ... 0.83 Bohr magnetons per cell

Cell: 3.837 3.837 5.451 Å, 90.00 90.00 90.00°
Space group P4/mmm (No. 123)
One atom of each set of equivalent atoms:
Ce: 0.000 0.000 0.000
Pm: 0.500 0.500 0.500
H: 0.000 0.500 0.252

# 6
CePm3H | PBE | relaxed

Output
DOS(E_F) ... 8.18 states/eV/f.u.
Raw total energy ... -4.827 eV/atom
Size of the total moment ... 0.78 Bohr magnetons per cell

Cell: 5.096 5.096 5.096 Å, 90.00 90.00 90.00°
Space group Pm-3m (No. 221)
One atom of each set of equivalent atoms:
Ce: 0.000 0.000 0.000
Pm: 0.000 0.500 0.500
H: 0.500 0.500 0.500

# 7
CePm2H8 | PBE | relaxed

Output
DOS(E_F) ... 7.48 states/eV/f.u.
Raw total energy ... -4.416 eV/atom
Size of the total moment ... 1.72 Bohr magnetons per cell

Cell: 3.785 5.456 11.350 Å, 90.00 90.00 90.00°
Space group Immm (No. 71)
One atom of each set of equivalent atoms:
Ce: 0.000 0.000 0.000
Pm: 0.000 0.000 0.331
H: 0.000 0.229 0.500
H: 0.000 0.262 0.161
H: 0.000 0.500 0.344

# 8
CePm2H6 | PBE | relaxed

Output
DOS(E_F) ... 8.53 states/eV/f.u.
Raw total energy ... -4.569 eV/atom
Size of the total moment ... 1.64 Bohr magnetons per cell

Cell: 3.831 3.831 16.376 Å, 90.00 90.00 90.00°
Space group I4/mmm (No. 139)
One atom of each set of equivalent atoms:
Ce: 0.000 0.000 0.000
Pm: 0.000 0.000 0.333
H: 0.000 0.500 0.084
H: 0.000 0.500 0.250

# 9
Ce4Pm2Sb3H2 | PBE | relaxed

Output
DOS(E_F) ... 21.54 states/eV/f.u.
Raw total energy ... -5.450 eV/atom
Size of the total moment ... 6.59 Bohr magnetons per cell

Cell: 4.547 4.547 26.765 Å, 90.00 90.00 90.00°
Space group I4/mmm (No. 139)
One atom of each set of equivalent atoms:
Ce: 0.000 0.500 0.084
Pm: 0.000 0.000 0.203
Sb: 0.000 0.000 0.324
Sb: 0.000 0.000 0.500
H: 0.000 0.000 0.068

# 10
Ce4Pm2Te3H2 | PBE | relaxed

Output
DOS(E_F) ... 20.61 states/eV/f.u.
Raw total energy ... -5.281 eV/atom
Size of the total moment ... 6.92 Bohr magnetons per cell

Cell: 4.484 4.484 27.117 Å, 90.00 90.00 90.00°
Space group I4/mmm (No. 139)
One atom of each set of equivalent atoms:
Ce: 0.000 0.500 0.087
Pm: 0.000 0.000 0.204
Te: 0.000 0.000 0.323
Te: 0.000 0.000 0.500
H: 0.000 0.000 0.066

# 11
CePrH | PBE | relaxed

Output
DOS(E_F) ... 6.14 states/eV/f.u.
Offset from the most stable computed form ... 1 kJ/mol of formula units
Size of the total moment ... 0.93 Bohr magnetons per cell

Cell: 3.6047 3.6047 6.0379 Å, 90.00 90.00 120.00°
Space group P3m1 (No. 156)
One atom of each set of equivalent atoms:
Ce: 0.0000 0.0000 0.0000
Pr: 0.3333 0.6667 0.4899
H: 0.6667 0.3333 0.2318

# 12
CePrH | PBE | relaxed

Output
DOS(E_F) ... 6.16 states/eV/f.u.
Offset from the most stable computed form ... 23 kJ/mol of formula units
Size of the total moment ... 1.43 Bohr magnetons per cell

Cell: 3.408 3.408 12.170 Å, 90.00 90.00 90.00°
Space group I4mm (No. 107)
One atom of each set of equivalent atoms:
Ce: 0.000 0.000 0.000
Pr: 0.000 0.000 0.719
H: 0.000 0.000 0.188

# 13
CePrH2 | PBE | relaxed

Output
DOS(E_F) ... 5.67 states/eV/f.u.
Offset from the most stable computed form ... 0 kJ/mol of formula units
Size of the total moment ... 2.85 Bohr magnetons per cell

Cell: 3.6003 3.6003 17.8945 Å, 90.00 90.00 120.00°
Space group R-3m (No. 166, hexagonal axes)
One atom of each set of equivalent atoms:
Ce: 0.0000 0.0000 0.0000
Pr: 0.0000 0.0000 0.5000
H: 0.0000 0.0000 0.2521

# 14
CePr3H | PBE | relaxed

Output
DOS(E_F) ... 8.92 states/eV/f.u.
Raw total energy ... -4.837 eV/atom
Size of the total moment ... 0.94 Bohr magnetons per cell

Cell: 5.173 5.173 5.173 Å, 90.00 90.00 90.00°
Space group Pm-3m (No. 221)
One atom of each set of equivalent atoms:
Ce: 0.000 0.000 0.000
Pr: 0.000 0.500 0.500
H: 0.500 0.500 0.500

# 15
Ce3PrH8 | PBE | relaxed

Output
DOS(E_F) ... 21.81 states/eV/f.u.
Raw total energy ... -4.670 eV/atom
Size of the total moment ... 2.72 Bohr magnetons per cell

Cell: 5.473 5.473 5.473 Å, 90.00 90.00 90.00°
Space group Pm-3m (No. 221)
One atom of each set of equivalent atoms:
Ce: 0.000 0.000 0.500
Pr: 0.500 0.500 0.500
H: 0.247 0.247 0.247

# 16
CePrH | PBE | relaxed

Output
DOS(E_F) ... 6.43 states/eV/f.u.
Offset from the most stable computed form ... 0 kJ/mol of formula units
Size of the total moment ... 3.98 Bohr magnetons per cell

Cell: 7.582 5.975 7.503 Å, 90.00 119.60 90.00°
Space group P2_1/c (No. 14)
One atom of each set of equivalent atoms:
Ce: 0.079 0.246 0.166
Pr: 0.414 0.747 0.831
H: 0.411 0.145 0.332

# 17
CePrH2 | PBE | relaxed

Output
DOS(E_F) ... 5.30 states/eV/f.u.
Offset from the most stable computed form ... 41 kJ/mol of formula units
Size of the total moment ... 2.79 Bohr magnetons per cell

Cell: 3.5570 3.5570 18.6655 Å, 90.00 90.00 120.00°
Space group R3m (No. 160, hexagonal axes)
One atom of each set of equivalent atoms:
Ce: 0.0000 0.0000 0.0000
Pr: 0.0000 0.0000 0.8254
H: 0.0000 0.0000 0.4105
H: 0.0000 0.0000 0.5916

# 18
Ce3Pr5H12 | PBE | relaxed

Output
DOS(E_F) ... 25.39 states/eV/f.u.
Raw total energy ... -4.489 eV/atom
Size of the total moment ... 27.68 Bohr magnetons per cell

Cell: 13.654 13.654 13.654 Å, 90.00 90.00 90.00°
Space group Ia-3d (No. 230)
One atom of each set of equivalent atoms:
Ce: 0.000 0.250 0.125
Pr: 0.000 0.000 0.000
Pr: 0.000 0.250 0.375
H: 0.002 0.075 0.656

# 19
CePr2H | PBE | relaxed

Output
DOS(E_F) ... 6.31 states/eV/f.u.
Offset from the most stable computed form ... 35 kJ/mol of formula units
Size of the total moment ... 0.58 Bohr magnetons per cell

Cell: 3.379 3.379 8.677 Å, 90.00 90.00 90.00°
Space group P4/mmm (No. 123)
One atom of each set of equivalent atoms:
Ce: 0.000 0.000 0.000
Pr: 0.500 0.500 0.309
H: 0.000 0.000 0.500

# 20
CePr3H8 | PBE | relaxed

Output
DOS(E_F) ... 9.40 states/eV/f.u.
Raw total energy ... -4.532 eV/atom
Size of the total moment ... 0.85 Bohr magnetons per cell

Cell: 5.523 5.523 5.523 Å, 90.00 90.00 90.00°
Space group Pm-3m (No. 221)
One atom of each set of equivalent atoms:
Ce: 0.000 0.000 0.000
Pr: 0.000 0.500 0.500
H: 0.248 0.248 0.248